(1)
First-principles (PBE) data for a geometry-optimized Fe2Ni structure, as listed in Alexandria.

Output
Formation energy   0.13 eV/atom

Lattice parameters (Å, degrees): 4.5865 4.5865 4.5865 104.58 104.58 119.76
Last column: nearest neighbours and their distance in Å.
Sites, in units of the cell vectors:
1 Fe 0.3472 0.1528 0.5000  4 Ni 2.42, 1 Fe 2.43
2 Fe 0.6528 0.8472 0.5000  4 Ni 2.42, 1 Fe 2.43
3 Fe 0.8472 0.3472 0.1943  4 Ni 2.42, 1 Fe 2.43
4 Fe 0.1528 0.6528 0.8057  4 Ni 2.42, 1 Fe 2.43
5 Ni 0.2500 0.2500 0.0000  2 Ni 2.30, 8 Fe 2.42
6 Ni 0.7500 0.7500 0.0000  2 Ni 2.30, 8 Fe 2.42


(2)
First-principles (PBE) data for a geometry-optimized FeNi4 structure, as listed in Alexandria.

Output
Formation energy   -0.04 eV/atom

Lattice parameters (Å, degrees): 2.4893 3.5452 6.6191 105.53 100.84 90.00
Last column: nearest neighbours and their distance in Å.
Sites, in units of the cell vectors:
1 Ni 0.6002 0.6002 0.2003  8 Ni 2.49-2.51, 4 Fe 2.50
2 Ni 0.7990 0.7990 0.5980  11 Ni 2.49-2.51, 1 Fe 2.51
3 Ni 0.2010 0.2010 0.4020  11 Ni 2.49-2.51, 1 Fe 2.51
4 Ni 0.3998 0.3998 0.7997  8 Ni 2.49-2.51, 4 Fe 2.50
5 Fe 0.0000 0.0000 0.0000  2 Fe 2.49, 10 Ni 2.50-2.51


(3)
First-principles (PBE) data for a geometry-optimized Fe3Ni structure, as listed in Alexandria.

Output
Formation energy   0.01 eV/atom

Lattice parameters (Å, degrees): 2.4671 4.0295 4.7443 90.00 79.77 90.00
Last column: nearest neighbours and their distance in Å.
Sites, in units of the cell vectors:
1 Fe 0.4935 0.0000 0.4968  6 Fe 2.46-2.49, 2 Ni 2.48
2 Fe 0.2500 0.5000 0.2500  6 Fe 2.46-2.47, 2 Ni 2.47
3 Fe 0.0065 0.0000 0.0032  6 Fe 2.46-2.49, 2 Ni 2.48
4 Ni 0.7500 0.5000 0.7500  2 Ni 2.47, 6 Fe 2.47-2.48


(4)
First-principles (PBE) data for a geometry-optimized FeNi3 structure, as listed in Alexandria.

Output
Formation energy   -0.03 eV/atom

Lattice parameters (Å, degrees): 2.4913 4.3347 4.3510 99.47 90.04 106.62
Last column: nearest neighbours and their distance in Å.
Sites, in units of the cell vectors:
1 Ni 0.7502 0.5003 0.2517  9 Ni 2.49-2.52, 3 Fe 2.51
2 Ni 0.5000 0.0000 0.5000  8 Ni 2.49-2.50, 4 Fe 2.51
3 Ni 0.2499 0.4997 0.7483  9 Ni 2.49-2.52, 3 Fe 2.51
4 Fe 0.0000 0.0000 0.0000  2 Fe 2.49, 10 Ni 2.51


(5)
First-principles (PBE) data for a geometry-optimized Fe2Ni structure, as listed in Alexandria.

Output
Formation energy   0.05 eV/atom

Lattice parameters (Å, degrees): 2.5010 4.8338 6.2293 73.09 90.00 104.99
Last column: nearest neighbours and their distance in Å.
Sites, in units of the cell vectors:
1 Fe 0.0524 0.1048 0.3819  7 Fe 2.50-2.64, 5 Ni 2.51-2.53
2 Fe 0.3895 0.7790 0.7226  9 Fe 2.50-2.64, 3 Ni 2.51-2.66
3 Fe 0.6660 0.3321 0.6663  9 Fe 2.50-2.64, 3 Ni 2.51-2.66
4 Fe 0.0031 0.0063 0.0069  7 Fe 2.50-2.64, 5 Ni 2.51-2.53
5 Ni 0.3295 0.6590 0.3322  4 Ni 2.50-2.54, 8 Fe 2.51-2.66
6 Ni 0.7260 0.4521 0.0567  4 Ni 2.50-2.54, 8 Fe 2.51-2.66


(6)
First-principles (PBE) data for a geometry-optimized FeNi4 structure, as listed in Alexandria.

Output
Formation energy   0.34 eV/atom

Lattice parameters (Å, degrees): 6.2292 6.2292 6.2292 149.64 149.64 43.47
Last column: nearest neighbours and their distance in Å.
Sites, in units of the cell vectors:
1 Ni 0.2500 0.7500 0.5000  8 Ni 2.31-2.40
2 Ni 0.7500 0.2500 0.5000  8 Ni 2.31-2.40
3 Ni 0.4016 0.4016 0.0000  5 Ni 2.28-2.40
4 Ni 0.5984 0.5984 0.0000  5 Ni 2.28-2.40
5 Fe 0.0000 0.0000 0.0000  8 Ni 2.57


(7)
First-principles (PBE) data for a geometry-optimized Fe7Ni structure, as listed in Alexandria.

Output
Formation energy   0.13 eV/atom

Lattice parameters (Å, degrees): 4.9691 4.9691 4.9691 60.00 60.00 60.00
Last column: nearest neighbours and their distance in Å.
Sites, in units of the cell vectors:
1 Ni 0.0000 0.0000 0.0000  12 Fe 2.48
2 Fe 0.5000 0.0000 0.5000  10 Fe 2.48, 2 Ni 2.48
3 Fe 0.5000 0.5000 0.5000  12 Fe 2.48
4 Fe 0.0000 0.0000 0.5000  10 Fe 2.48, 2 Ni 2.48
5 Fe 0.5000 0.5000 0.0000  10 Fe 2.48, 2 Ni 2.48
6 Fe 0.0000 0.5000 0.5000  10 Fe 2.48, 2 Ni 2.48
7 Fe 0.5000 0.0000 0.0000  10 Fe 2.48, 2 Ni 2.48
8 Fe 0.0000 0.5000 0.0000  10 Fe 2.48, 2 Ni 2.48


(8)
First-principles (PBE) data for a geometry-optimized Fe2Ni structure, as listed in Alexandria.

Output
Formation energy   0.32 eV/atom

Lattice parameters (Å, degrees): 2.4533 3.7424 16.6955 90.00 90.00 90.00
Last column: nearest neighbours and their distance in Å.
Sites, in units of the cell vectors:
1 Ni 0.5000 0.7500 0.1101  2 Ni 2.45, 8 Fe 2.52-2.57
2 Ni 0.0000 0.7500 0.3899  2 Ni 2.45, 8 Fe 2.52-2.57
3 Ni 0.0000 0.2500 0.6101  2 Ni 2.45, 8 Fe 2.52-2.57
4 Ni 0.5000 0.2500 0.8899  2 Ni 2.45, 8 Fe 2.52-2.57
5 Fe 0.0000 0.2500 0.1853  5 Fe 2.41-2.49, 4 Ni 2.57
6 Fe 0.0000 0.7500 0.9591  5 Fe 2.32-2.45, 4 Ni 2.52
7 Fe 0.5000 0.2500 0.4591  5 Fe 2.32-2.45, 4 Ni 2.52
8 Fe 0.0000 0.2500 0.0409  5 Fe 2.32-2.45, 4 Ni 2.52
9 Fe 0.5000 0.7500 0.5409  5 Fe 2.32-2.45, 4 Ni 2.52
10 Fe 0.0000 0.7500 0.8147  5 Fe 2.41-2.49, 4 Ni 2.57
11 Fe 0.5000 0.7500 0.6853  5 Fe 2.41-2.49, 4 Ni 2.57
12 Fe 0.5000 0.2500 0.3147  5 Fe 2.41-2.49, 4 Ni 2.57


(9)
First-principles (PBE) data for a geometry-optimized Fe4Ni structure, as listed in Alexandria.

Output
Formation energy   0.01 eV/atom

Lattice parameters (Å, degrees): 2.4585 2.4585 10.0785 94.84 94.84 107.95
Last column: nearest neighbours and their distance in Å.
Sites, in units of the cell vectors:
1 Fe 0.4010 0.4010 0.8019  2 Ni 2.45, 6 Fe 2.46-2.47
2 Fe 0.5990 0.5990 0.1981  2 Ni 2.45, 6 Fe 2.46-2.47
3 Fe 0.8005 0.8005 0.6009  8 Fe 2.46-2.48
4 Fe 0.1995 0.1995 0.3991  8 Fe 2.46-2.48
5 Ni 0.0000 0.0000 0.0000  4 Fe 2.45, 4 Ni 2.46


(10)
First-principles (PBE) data for a geometry-optimized Fe3Ni structure, as listed in Alexandria.

Output
Formation energy   0.02 eV/atom

Lattice parameters (Å, degrees): 3.9859 4.6833 2.9398 71.71 90.00 115.19
Last column: nearest neighbours and their distance in Å.
Sites, in units of the cell vectors:
1 Fe 0.2500 0.5000 0.2500  4 Fe 2.46, 4 Ni 2.48
2 Fe 0.0026 0.0053 0.9974  6 Fe 2.46-2.48, 2 Ni 2.49
3 Fe 0.4974 0.9947 0.5026  6 Fe 2.46-2.48, 2 Ni 2.49
4 Ni 0.7500 0.5000 0.7500  8 Fe 2.48-2.49


(11)
First-principles (PBE) data for a geometry-optimized Fe3Ni structure, as listed in Alexandria.

Output
Formation energy   0.05 eV/atom

Lattice parameters (Å, degrees): 2.4739 2.4739 7.2244 90.00 90.00 90.00
Last column: nearest neighbours and their distance in Å.
Sites, in units of the cell vectors:
1 Fe 0.0000 0.0000 0.5002  8 Fe 2.47-2.51, 4 Ni 2.52
2 Fe 0.5000 0.5000 0.7500  12 Fe 2.47-2.51
3 Fe 0.0000 0.0000 0.9998  8 Fe 2.47-2.51, 4 Ni 2.52
4 Ni 0.5000 0.5000 0.2500  4 Ni 2.47, 8 Fe 2.52


(12)
First-principles (PBE) data for a geometry-optimized Fe13Ni3 structure, as listed in Alexandria.

Output
Formation energy   0.02 eV/atom

Lattice parameters (Å, degrees): 5.6846 5.6846 5.7520 90.00 90.00 90.02
Last column: nearest neighbours and their distance in Å.
Sites, in units of the cell vectors:
1 Fe 0.5000 0.5000 0.7493  1 Ni 2.45, 7 Fe 2.46-2.49
2 Fe 0.2475 0.2500 0.0000  2 Ni 2.45, 6 Fe 2.46-2.48
3 Fe 0.5005 0.9997 0.7494  7 Fe 2.46-2.48, 1 Ni 2.47
4 Fe 0.7507 0.2493 0.5000  6 Fe 2.47, 2 Ni 2.49
5 Fe 0.7500 0.7525 0.0000  2 Ni 2.45, 6 Fe 2.46-2.48
6 Fe 0.5000 0.5000 0.2507  1 Ni 2.45, 7 Fe 2.46-2.49
7 Fe 0.2526 0.7474 0.0000  6 Fe 2.46-2.47, 2 Ni 2.46
8 Fe 0.5005 0.9997 0.2506  7 Fe 2.46-2.48, 1 Ni 2.47
9 Fe 0.0003 0.4995 0.2506  7 Fe 2.46-2.48, 1 Ni 2.47
10 Fe 0.7481 0.7484 0.5000  6 Fe 2.46-2.47, 2 Ni 2.49
11 Fe 0.2516 0.2519 0.5000  6 Fe 2.46-2.47, 2 Ni 2.49
12 Fe 0.0003 0.4995 0.7494  7 Fe 2.46-2.48, 1 Ni 2.47
13 Fe 0.2473 0.7527 0.5000  2 Ni 2.45, 6 Fe 2.47-2.49
14 Ni 0.7459 0.2541 0.0000  6 Fe 2.45-2.47, 2 Ni 2.51
15 Ni 0.0023 0.9977 0.2474  7 Fe 2.45-2.49, 1 Ni 2.51
16 Ni 0.0023 0.9977 0.7526  7 Fe 2.45-2.49, 1 Ni 2.51


(13)
First-principles (PBE) data for a geometry-optimized Fe3Ni8 structure, as listed in Alexandria.

Output
Formation energy   0.56 eV/atom

Lattice parameters (Å, degrees): 5.2460 5.2460 5.2460 94.15 94.15 94.15
Last column: nearest neighbours and their distance in Å.
Sites, in units of the cell vectors:
1 Fe 0.0000 0.5000 0.5000  4 Ni 2.23-2.30
2 Fe 0.5000 0.0000 0.5000  4 Ni 2.23-2.30
3 Fe 0.5000 0.5000 0.0000  4 Ni 2.23-2.30
4 Ni 0.3601 0.3601 0.3601  3 Fe 2.23, 1 Ni 2.35
5 Ni 0.3144 0.0886 0.9320  2 Fe 2.30-2.56, 6 Ni 2.31-2.56
6 Ni 0.9320 0.3144 0.0886  2 Fe 2.30-2.56, 6 Ni 2.31-2.56
7 Ni 0.6399 0.6399 0.6399  3 Fe 2.23, 1 Ni 2.35
8 Ni 0.0680 0.6856 0.9114  2 Fe 2.30-2.56, 6 Ni 2.31-2.56
9 Ni 0.6856 0.9114 0.0680  2 Fe 2.30-2.56, 6 Ni 2.31-2.56
10 Ni 0.0886 0.9320 0.3144  2 Fe 2.30-2.56, 6 Ni 2.31-2.56
11 Ni 0.9114 0.0680 0.6856  2 Fe 2.30-2.56, 6 Ni 2.31-2.56


(14)
First-principles (PBE) data for a geometry-optimized Fe3Ni structure, as listed in Alexandria.

Output
Formation energy   0.04 eV/atom

Lattice parameters (Å, degrees): 4.0421 4.0421 4.0421 60.00 60.00 60.00
Last column: nearest neighbours and their distance in Å.
Sites, in units of the cell vectors:
1 Ni 0.7500 0.7500 0.7500  8 Fe 2.48
2 Fe 0.2500 0.2500 0.2500  8 Fe 2.48
3 Fe 0.5000 0.5000 0.5000  4 Fe 2.48, 4 Ni 2.48
4 Fe 0.0000 0.0000 0.0000  4 Fe 2.48, 4 Ni 2.48


(15)
First-principles (PBE) data for a geometry-optimized Fe4Ni3 structure, as listed in Alexandria.

Output
Formation energy   0.09 eV/atom

Lattice parameters (Å, degrees): 2.4627 6.2105 6.4996 122.56 100.92 90.00
Last column: nearest neighbours and their distance in Å.
Sites, in units of the cell vectors:
1 Fe 0.6396 0.8826 0.2791  8 Fe 2.46-2.67, 5 Ni 2.52-2.58
2 Fe 0.0765 0.4452 0.1530  4 Ni 2.37-2.50, 3 Fe 2.39-2.46
3 Fe 0.9235 0.5548 0.8470  4 Ni 2.37-2.50, 3 Fe 2.39-2.46
4 Fe 0.3604 0.1174 0.7209  8 Fe 2.46-2.67, 5 Ni 2.52-2.58
5 Ni 0.7752 0.6991 0.5504  5 Ni 2.42-2.51, 6 Fe 2.46-2.54
6 Ni 0.2248 0.3009 0.4496  5 Ni 2.42-2.51, 6 Fe 2.46-2.54
7 Ni 0.0000 0.0000 0.0000  6 Fe 2.37-2.58, 4 Ni 2.42-2.46


(16)
First-principles (PBE) data for a geometry-optimized FeNi3 structure, as listed in Alexandria.

Output
Formation energy   -0.08 eV/atom

Lattice parameters (Å, degrees): 5.0142 4.0626 4.3564 90.00 90.00 90.00
Last column: nearest neighbours and their distance in Å.
Sites, in units of the cell vectors:
1 Fe 0.5000 0.5000 0.3338  12 Ni 2.50-2.51
2 Fe 0.0000 0.0000 0.6662  12 Ni 2.50-2.51
3 Ni 0.7517 0.0000 0.1674  8 Ni 2.49-2.53, 4 Fe 2.50-2.51
4 Ni 0.0000 0.5000 0.3298  8 Ni 2.49-2.53, 4 Fe 2.50-2.51
5 Ni 0.5000 0.0000 0.6702  8 Ni 2.49-2.53, 4 Fe 2.50-2.51
6 Ni 0.2517 0.5000 0.8326  8 Ni 2.49-2.53, 4 Fe 2.50-2.51
7 Ni 0.2483 0.0000 0.1674  8 Ni 2.49-2.53, 4 Fe 2.50-2.51
8 Ni 0.7483 0.5000 0.8326  8 Ni 2.49-2.53, 4 Fe 2.50-2.51


(17)
First-principles (PBE) data for a geometry-optimized Fe2Ni3 structure, as listed in Alexandria.

Output
Formation energy   0.13 eV/atom

Lattice parameters (Å, degrees): 3.8950 7.4621 8.2535 90.00 90.00 90.00
Last column: nearest neighbours and their distance in Å.
Sites, in units of the cell vectors:
1 Ni 0.7500 0.3452 0.1690  4 Ni 2.31-2.44, 3 Fe 2.35-2.38
2 Ni 0.2500 0.8669 0.0356  5 Ni 2.31-2.58, 1 Fe 2.44
3 Ni 0.2500 0.8452 0.3310  4 Ni 2.31-2.44, 3 Fe 2.35-2.38
4 Ni 0.7500 0.8510 0.8307  6 Ni 2.38-2.63, 5 Fe 2.38-2.57
5 Ni 0.7500 0.6490 0.3307  6 Ni 2.38-2.63, 5 Fe 2.38-2.57
6 Ni 0.2500 0.6548 0.8310  4 Ni 2.31-2.44, 3 Fe 2.35-2.38
7 Ni 0.2500 0.3510 0.6693  6 Ni 2.38-2.63, 5 Fe 2.38-2.57
8 Ni 0.2500 0.1490 0.1693  6 Ni 2.38-2.63, 5 Fe 2.38-2.57
9 Ni 0.7500 0.3669 0.4644  5 Ni 2.31-2.58, 1 Fe 2.44
10 Ni 0.7500 0.1331 0.9644  5 Ni 2.31-2.58, 1 Fe 2.44
11 Ni 0.7500 0.1548 0.6690  4 Ni 2.31-2.44, 3 Fe 2.35-2.38
12 Ni 0.2500 0.6331 0.5356  5 Ni 2.31-2.58, 1 Fe 2.44
13 Fe 0.7500 0.6298 0.0380  7 Ni 2.38-2.63
14 Fe 0.7500 0.9723 0.2217  8 Ni 2.35-2.60
15 Fe 0.2500 0.1298 0.4620  7 Ni 2.38-2.63
16 Fe 0.2500 0.4723 0.2783  8 Ni 2.35-2.60
17 Fe 0.2500 0.3702 0.9620  7 Ni 2.38-2.63
18 Fe 0.2500 0.0277 0.7783  8 Ni 2.35-2.60
19 Fe 0.7500 0.5277 0.7217  8 Ni 2.35-2.60
20 Fe 0.7500 0.8702 0.5380  7 Ni 2.38-2.63


(18)
First-principles (PBE) data for a geometry-optimized FeNi3 structure, as listed in Alexandria.

Output
Formation energy   -0.05 eV/atom

Lattice parameters (Å, degrees): 2.5000 3.5393 5.6049 90.00 63.60 90.00
Last column: nearest neighbours and their distance in Å.
Sites, in units of the cell vectors:
1 Ni 0.5000 0.0000 0.5000  10 Ni 2.50, 2 Fe 2.51
2 Ni 0.2462 0.5000 0.2532  8 Ni 2.48-2.54, 4 Fe 2.51
3 Ni 0.7538 0.5000 0.7468  8 Ni 2.48-2.54, 4 Fe 2.51
4 Fe 0.0000 0.0000 0.0000  2 Fe 2.50, 10 Ni 2.51


(19)
First-principles (PBE) data for a geometry-optimized Fe3Ni8 structure, as listed in Alexandria.

Output
Formation energy   -0.07 eV/atom

Lattice parameters (Å, degrees): 3.5302 4.3438 9.0504 103.96 90.00 113.98
Last column: nearest neighbours and their distance in Å.
Sites, in units of the cell vectors:
1 Ni 0.8180 0.6361 0.7283  4 Fe 2.49-2.52, 8 Ni 2.50-2.53
2 Ni 0.1820 0.3639 0.2717  4 Fe 2.49-2.52, 8 Ni 2.50-2.53
3 Ni 0.7275 0.4550 0.0908  4 Fe 2.48-2.51, 8 Ni 2.50-2.51
4 Ni 0.4555 0.9110 0.1819  8 Ni 2.49-2.51, 4 Fe 2.49-2.50
5 Ni 0.5445 0.0890 0.8181  8 Ni 2.49-2.51, 4 Fe 2.49-2.50
6 Ni 0.2725 0.5450 0.9092  4 Fe 2.48-2.51, 8 Ni 2.50-2.51
7 Ni 0.6347 0.2694 0.4529  7 Ni 2.49-2.53, 5 Fe 2.51-2.52
8 Ni 0.3653 0.7306 0.5471  7 Ni 2.49-2.53, 5 Fe 2.51-2.52
9 Fe 0.0934 0.1867 0.6391  11 Ni 2.48-2.52, 1 Fe 2.56
10 Fe 0.0000 0.0000 0.0000  12 Ni 2.50-2.51
11 Fe 0.9066 0.8133 0.3609  11 Ni 2.48-2.52, 1 Fe 2.56


(20)
First-principles (PBE) data for a geometry-optimized Fe3Ni structure, as listed in Alexandria.

Output
Formation energy   0.05 eV/atom

Lattice parameters (Å, degrees): 3.5319 3.5320 7.8371 102.93 102.93 90.06
Last column: nearest neighbours and their distance in Å.
Sites, in units of the cell vectors:
1 Ni 0.1252 0.1252 0.2502  12 Fe 2.50-2.57
2 Ni 0.8747 0.8747 0.7498  12 Fe 2.50-2.57
3 Fe 0.2500 0.7499 0.5000  8 Fe 2.50-2.58, 4 Ni 2.56
4 Fe 0.5000 0.0000 0.0000  8 Fe 2.50-2.55, 4 Ni 2.56-2.57
5 Fe 0.0000 0.5000 0.0000  8 Fe 2.50-2.55, 4 Ni 2.56-2.57
6 Fe 0.7499 0.2500 0.5000  8 Fe 2.50-2.58, 4 Ni 2.56
7 Fe 0.6242 0.6242 0.2478  4 Ni 2.50, 8 Fe 2.55-2.58
8 Fe 0.3758 0.3758 0.7522  4 Ni 2.50, 8 Fe 2.55-2.58